Entry 1:
Below is a PBEsol-optimized structure of Zr3ScTa, with properties calculated at the meta-GGA SCAN level.

Unit cell a=4.8287 b=4.8287 c=4.8287 alpha=90.00 beta=90.00 gamma=90.00
Closest atoms and distances in Å follow each position.
Element x y z (fractional)
1 Sc 0.0000 0.0000 0.0000  6 Zr 2.41
2 Zr 0.0000 0.5000 0.0000  2 Sc 2.41
3 Zr 0.0000 0.0000 0.5000  2 Sc 2.41
4 Zr 0.5000 0.0000 0.0000  2 Sc 2.41
5 Ta 0.5000 0.5000 0.5000  12 Zr 3.41

Computed properties:
As for the magnetization: 0.0 μB per cell. The space-group type is Pm-3m (221). The energy relative to the elements is 1.470 eV/atom.


Entry 2:
Below is a PBEsol-optimized structure of ZrScTa2, with properties calculated at the meta-GGA SCAN level.

Unit cell a=2.8568 b=2.8568 c=9.5768 alpha=90.00 beta=90.00 gamma=90.00
Closest atoms and distances in Å follow each position.
Element x y z (fractional)
1 Ta 0.0000 0.0000 0.2505  4 Ta 2.86, 4 Sc 3.13, 4 Zr 3.14
2 Ta 0.0000 0.0000 0.7495  4 Ta 2.86, 4 Sc 3.13, 4 Zr 3.14
3 Sc 0.5000 0.5000 0.5000  4 Sc 2.86, 8 Ta 3.13
4 Zr 0.5000 0.5000 0.0000  4 Zr 2.86, 8 Ta 3.14

Computed properties:
For the energy above the most stable polymorph in this dataset, the calculation gives 77 meV per atom. As for the magnetization: 0.0 μB per cell. The space-group type is P4/mmm (123). The energy relative to the elements is 0.228 eV/atom.


Entry 3:
Below is a PBEsol-optimized structure of ZrScTa2, with properties calculated at the meta-GGA SCAN level.

Unit cell a=3.4257 b=4.8840 c=5.6042 alpha=115.83 beta=107.80 gamma=90.00
Closest atoms and distances in Å follow each position.
Element x y z (fractional)
1 Ta 0.0211 0.0211 0.0422  2 Ta 2.62
2 Ta 0.7307 0.2307 0.4614  2 Ta 2.62
3 Sc 0.2588 0.7588 0.5176  8 Ta 2.99-3.32, 4 Zr 3.08-3.28
4 Zr 0.4894 0.4894 0.9788  8 Ta 2.99-3.35, 4 Sc 3.08-3.28

Computed properties:
For the energy above the most stable polymorph in this dataset, the calculation gives 31 meV per atom. As for the magnetization: 0.0 μB per cell. The space-group type is Imm2 (44). The energy relative to the elements is 0.182 eV/atom.


Entry 4:
Below is a PBEsol-optimized structure of Sc6Tc7, with properties calculated at the meta-GGA SCAN level.

Unit cell a=5.1544 b=5.1544 c=10.1799 alpha=75.34 beta=75.34 gamma=60.00
Closest atoms and distances in Å follow each position.
Element x y z (fractional)
1 Tc 0.9122 0.4058 0.2762  5 Tc 2.54-2.65
2 Tc 0.4058 0.4058 0.2762  5 Tc 2.54-2.65
3 Tc 0.4058 0.9122 0.2762  5 Tc 2.54-2.65
4 Tc 0.0878 0.5942 0.7238  5 Tc 2.54-2.65
5 Tc 0.5942 0.5942 0.7238  5 Tc 2.54-2.65
6 Tc 0.5942 0.0878 0.7238  5 Tc 2.54-2.65
7 Tc 0.5000 0.5000 0.5000  6 Tc 2.65
8 Sc 0.6664 0.6664 0.0009  9 Sc 2.98-3.31, 6 Tc 3.07-3.08
9 Sc 0.1503 0.1503 0.5490  4 Sc 2.96-3.12, 12 Tc 3.01-3.09
10 Sc 0.8497 0.8497 0.4510  4 Sc 2.96-3.12, 12 Tc 3.01-3.09
11 Sc 0.3336 0.3336 0.9991  9 Sc 2.98-3.31, 6 Tc 3.07-3.08
12 Sc 0.9509 0.9509 0.1473  6 Tc 2.87, 2 Sc 2.87-2.96
13 Sc 0.0491 0.0491 0.8527  6 Tc 2.87, 2 Sc 2.87-2.96

Computed properties:
As for the magnetization: 2.0 μB per cell. The space-group type is R-3m (166). The energy relative to the elements is -0.275 eV/atom.


Entry 5:
Below is a PBEsol-optimized structure of ScTc, with properties calculated at the meta-GGA SCAN level.

Unit cell a=3.1680 b=4.5181 c=5.4577 alpha=114.45 beta=106.87 gamma=90.00
Closest atoms and distances in Å follow each position.
Element x y z (fractional)
1 Tc 0.3548 0.6048 0.7096  2 Tc 2.53, 4 Sc 2.78
2 Tc 0.6452 0.3952 0.2904  2 Tc 2.53, 4 Sc 2.78
3 Sc 0.8880 0.1380 0.7759  6 Tc 2.78-2.89, 4 Sc 3.04-3.09
4 Sc 0.1120 0.8620 0.2241  6 Tc 2.78-2.89, 4 Sc 3.04-3.09

Computed properties:
As for the magnetization: 0.0 μB per cell. The space-group type is Imma (74). The energy relative to the elements is -0.265 eV/atom.


Entry 6:
Below is a PBEsol-optimized structure of ScTc, with properties calculated at the meta-GGA SCAN level.

Unit cell a=4.4593 b=4.4593 c=5.1379 alpha=90.00 beta=90.00 gamma=120.00
Closest atoms and distances in Å follow each position.
Element x y z (fractional)
1 Tc 0.6667 0.3333 0.7500  5 Sc 2.57
2 Tc 0.3333 0.6667 0.2500  5 Sc 2.57
3 Sc 0.6667 0.3333 0.2500  5 Tc 2.57
4 Sc 0.3333 0.6667 0.7500  5 Tc 2.57

Computed properties:
As for the magnetization: 0.0 μB per cell. The space-group type is P6_3/mmc (194). The energy relative to the elements is 1.382 eV/atom.


Entry 7:
Below is a PBEsol-optimized structure of Sc5Tc, with properties calculated at the meta-GGA SCAN level.

Unit cell a=3.3158 b=5.7716 c=7.5133 alpha=110.54 beta=90.00 gamma=106.69
Closest atoms and distances in Å follow each position.
Element x y z (fractional)
1 Tc 0.0000 0.0000 0.0000  8 Sc 2.69-2.79
2 Sc 0.3374 0.6748 0.7126  2 Tc 2.79, 2 Sc 3.08-3.09
3 Sc 0.3632 0.7264 0.1369  2 Tc 2.69
4 Sc 0.0000 0.0000 0.5000  10 Sc 3.08-3.32
5 Sc 0.6626 0.3252 0.2874  2 Tc 2.79, 2 Sc 3.08-3.09
6 Sc 0.6368 0.2736 0.8631  2 Tc 2.69

Computed properties:
For the energy above the most stable polymorph in this dataset, the calculation gives 0 meV per atom. As for the magnetization: 0.0 μB per cell. The space-group type is C2/m (12). The energy relative to the elements is -0.111 eV/atom.


Entry 8:
Below is a PBEsol-optimized structure of Sc5Tc, with properties calculated at the meta-GGA SCAN level.

Unit cell a=3.4878 b=4.8526 c=7.6215 alpha=90.00 beta=103.23 gamma=90.00
Closest atoms and distances in Å follow each position.
Element x y z (fractional)
1 Sc 0.0091 0.0000 0.0181  8 Sc 2.87-3.06, 2 Tc 3.12
2 Sc 0.3558 0.0000 0.7115  6 Sc 2.87-3.16, 4 Tc 3.00
3 Sc 0.2330 0.5000 0.4660  2 Tc 2.76, 2 Sc 3.03
4 Sc 0.6782 0.0000 0.3564  8 Sc 3.06-3.16
5 Sc 0.5136 0.5000 0.0273  2 Tc 2.67, 4 Sc 2.99
6 Tc 0.8770 0.5000 0.7541  4 Sc 2.67-2.76

Computed properties:
For the energy above the most stable polymorph in this dataset, the calculation gives 87 meV per atom. As for the magnetization: 0.0 μB per cell. The space-group type is Amm2 (38). The energy relative to the elements is -0.024 eV/atom.


Entry 9:
Below is a PBEsol-optimized structure of ScTc3, with properties calculated at the meta-GGA SCAN level.

Unit cell a=3.0779 b=4.3973 c=4.3973 alpha=90.00 beta=90.00 gamma=90.00
Closest atoms and distances in Å follow each position.
Element x y z (fractional)
1 Tc 0.5000 0.5000 0.0000  4 Tc 2.68, 4 Sc 2.68
2 Tc 0.0000 0.5000 0.5000  8 Tc 2.68
3 Tc 0.5000 0.0000 0.5000  4 Tc 2.68, 4 Sc 2.68
4 Sc 0.0000 0.0000 0.0000  8 Tc 2.68

Computed properties:
As for the magnetization: 0.0 μB per cell. The space-group type is P4/mmm (123). The energy relative to the elements is -0.128 eV/atom.


Entry 10:
Below is a PBEsol-optimized structure of Sc5Tc24, with properties calculated at the meta-GGA SCAN level.

Unit cell a=8.2715 b=8.2715 c=8.2715 alpha=109.47 beta=109.47 gamma=109.47
Closest atoms and distances in Å follow each position.
Element x y z (fractional)
1 Tc 0.2782 0.6037 0.6037  5 Tc 2.48-2.74, 1 Sc 2.73
2 Tc 0.8074 0.8074 0.1833  6 Tc 2.48-2.73
3 Tc 0.1833 0.8074 0.8074  6 Tc 2.48-2.73
4 Tc 0.0000 0.3759 0.1926  6 Tc 2.48-2.73
5 Tc 0.6037 0.6037 0.2782  5 Tc 2.48-2.74, 1 Sc 2.73
6 Tc 0.0000 0.6745 0.3963  5 Tc 2.48-2.74, 1 Sc 2.73
7 Tc 0.0000 0.3963 0.6745  5 Tc 2.48-2.74, 1 Sc 2.73
8 Tc 0.3255 0.7218 0.3255  5 Tc 2.48-2.74, 1 Sc 2.73
9 Tc 0.6241 0.6241 0.8167  6 Tc 2.48-2.73
10 Tc 0.1926 0.0000 0.3759  6 Tc 2.48-2.73
11 Tc 0.8167 0.6241 0.6241  6 Tc 2.48-2.73
12 Tc 0.3759 0.1926 0.0000  6 Tc 2.48-2.73
13 Tc 0.3255 0.3255 0.7218  5 Tc 2.48-2.74, 1 Sc 2.73
14 Tc 0.1926 0.3759 0.0000  6 Tc 2.48-2.73
15 Tc 0.6241 0.8167 0.6241  6 Tc 2.48-2.73
16 Tc 0.6037 0.2782 0.6037  5 Tc 2.48-2.74, 1 Sc 2.73
17 Tc 0.7218 0.3255 0.3255  5 Tc 2.48-2.74, 1 Sc 2.73
18 Tc 0.6745 0.3963 0.0000  5 Tc 2.48-2.74, 1 Sc 2.73
19 Tc 0.8074 0.1833 0.8074  6 Tc 2.48-2.73
20 Tc 0.0000 0.1926 0.3759  6 Tc 2.48-2.73
21 Tc 0.6745 0.0000 0.3963  5 Tc 2.48-2.74, 1 Sc 2.73
22 Tc 0.3963 0.0000 0.6745  5 Tc 2.48-2.74, 1 Sc 2.73
23 Tc 0.3963 0.6745 0.0000  5 Tc 2.48-2.74, 1 Sc 2.73
24 Tc 0.3759 0.0000 0.1926  6 Tc 2.48-2.73
25 Sc 0.6274 0.0000 0.0000  12 Tc 2.73-3.01
26 Sc 0.0000 0.0000 0.0000  12 Tc 2.98, 4 Sc 3.08
27 Sc 0.0000 0.6274 0.0000  12 Tc 2.73-3.01
28 Sc 0.0000 0.0000 0.6274  12 Tc 2.73-3.01
29 Sc 0.3726 0.3726 0.3726  12 Tc 2.73-3.01

Computed properties:
As for the magnetization: 0.0 μB per cell. The space-group type is I-43m (217). The energy relative to the elements is -0.258 eV/atom.


Entry 11:
Below is a PBEsol-optimized structure of Sc5Tc3, with properties calculated at the meta-GGA SCAN level.

Unit cell a=5.7214 b=7.7301 c=7.7301 alpha=120.00 beta=90.00 gamma=90.00
Closest atoms and distances in Å follow each position.
Element x y z (fractional)
1 Sc 0.2500 0.0000 0.2604  3 Tc 2.66-2.69
2 Sc 0.0000 0.6667 0.3333  6 Tc 2.77, 2 Sc 2.86
3 Sc 0.2500 0.2604 0.0000  3 Tc 2.66-2.69
4 Sc 0.7500 0.7396 0.0000  3 Tc 2.66-2.69
5 Sc 0.7500 0.0000 0.7396  3 Tc 2.66-2.69
6 Sc 0.7500 0.2604 0.2604  3 Tc 2.66-2.69
7 Sc 0.5000 0.3333 0.6667  6 Tc 2.77, 2 Sc 2.86
8 Sc 0.0000 0.3333 0.6667  6 Tc 2.77, 2 Sc 2.86
9 Sc 0.2500 0.7396 0.7396  3 Tc 2.66-2.69
10 Sc 0.5000 0.6667 0.3333  6 Tc 2.77, 2 Sc 2.86
11 Tc 0.7500 0.0000 0.3954  7 Sc 2.66-2.77
12 Tc 0.7500 0.6046 0.6046  7 Sc 2.66-2.77
13 Tc 0.2500 0.3954 0.3954  7 Sc 2.66-2.77
14 Tc 0.2500 0.0000 0.6046  7 Sc 2.66-2.77
15 Tc 0.7500 0.3954 0.0000  7 Sc 2.66-2.77
16 Tc 0.2500 0.6046 0.0000  7 Sc 2.66-2.77

Computed properties:
As for the magnetization: 0.0 μB per cell. The space-group type is P6_3/mcm (193). The energy relative to the elements is -0.160 eV/atom.


Entry 12:
Below is a PBEsol-optimized structure of ScTc, with properties calculated at the meta-GGA SCAN level.

Unit cell a=3.1493 b=5.4636 c=6.4701 alpha=107.34 beta=90.00 gamma=106.75
Closest atoms and distances in Å follow each position.
Element x y z (fractional)
1 Sc 0.9472 0.8944 0.9349  4 Tc 2.66
2 Sc 0.6505 0.3010 0.2956  6 Tc 2.71-2.91
3 Sc 0.6448 0.2896 0.7662  6 Tc 2.84-2.93, 6 Sc 3.01-3.15
4 Tc 0.3179 0.6358 0.6040  2 Tc 2.61, 6 Sc 2.66-2.84
5 Tc 0.3144 0.6289 0.1301  2 Tc 2.61, 4 Sc 2.66-2.78
6 Tc 0.9586 0.9171 0.4359  4 Tc 2.61, 4 Sc 2.87-2.91

Computed properties:
As for the magnetization: 0.0 μB per cell. The space-group type is Cm (8). The energy relative to the elements is -0.200 eV/atom.